Record 1
First-principles (PBE-GGA) data for a relaxed structure of SiHAu2I, as listed in the Alexandria database.

Mass density = 8.36 g/cm³
ΔE to the lowest computed polymorph = 0.0220 eV per atom

Unit cell a=6.066 b=6.823 c=5.598 alpha=90.00 beta=109.47 gamma=90.00
Atoms (fractional coordinates):
Au 0.855 0.230 0.356
Au 0.855 0.730 0.856
Au 0.855 0.770 0.356
Au 0.855 0.270 0.856
H 0.437 0.000 0.025
H 0.437 0.500 0.525
I 0.278 0.000 0.454
I 0.278 0.500 0.954
Si 0.640 0.000 0.932
Si 0.640 0.500 0.432



Record 2
First-principles (PBE-GGA) data for a relaxed structure of SiHAu2I, as listed in the Alexandria database.

Mass density = 8.20 g/cm³
ΔE to the lowest computed polymorph = 0.1634 eV per atom

Unit cell a=4.583 b=4.877 c=5.651 alpha=69.93 beta=70.24 gamma=86.92
Atoms (fractional coordinates):
Au 0.848 0.890 0.864
Au 0.685 0.476 0.538
Si 0.378 0.729 0.821
I 0.198 0.231 0.249
H 0.702 0.740 0.225



Record 3
First-principles (PBE-GGA) data for a relaxed structure of SiHAu2I, as listed in the Alexandria database.

Mass density = 7.85 g/cm³
ΔE to the lowest computed polymorph = 0.0177 eV per atom

Unit cell a=4.187 b=4.187 c=13.276 alpha=90.00 beta=90.00 gamma=90.00
Atoms (fractional coordinates):
H 0.000 0.000 0.362
H 0.500 0.500 0.862
Au 0.500 0.000 0.071
Au 0.500 0.000 0.571
Au 0.000 0.500 0.071
Au 0.000 0.500 0.571
Si 0.000 0.000 0.475
Si 0.500 0.500 0.975
I 0.000 0.000 0.748
I 0.500 0.500 0.248



Record 4
First-principles (PBE-GGA) data for a relaxed structure of SiHAu2I, as listed in the Alexandria database.

Mass density = 7.74 g/cm³
ΔE to the lowest computed polymorph = 0.0217 eV per atom

Unit cell a=6.411 b=6.785 c=5.426 alpha=90.00 beta=91.94 gamma=90.00
Atoms (fractional coordinates):
Au 0.130 0.718 0.241
Au 0.130 0.282 0.241
Au 0.130 0.782 0.741
Au 0.130 0.218 0.741
I 0.508 0.000 0.884
I 0.508 0.500 0.384
H 0.725 0.000 0.398
H 0.725 0.500 0.898
Si 0.958 0.500 0.905
Si 0.958 0.000 0.405



Record 5
First-principles (PBE-GGA) data for a relaxed structure of SiHAu2I, as listed in the Alexandria database.

Mass density = 8.21 g/cm³
ΔE to the lowest computed polymorph = 0.1253 eV per atom

Unit cell a=3.955 b=4.620 c=6.786 alpha=96.60 beta=92.68 gamma=114.77
Atoms (fractional coordinates):
Au 0.603 0.289 0.930
Au 0.933 0.923 0.111
Si 0.254 0.558 0.143
I 0.232 0.462 0.509
H 0.464 0.968 0.759



Record 6
First-principles (PBE-GGA) data for a relaxed structure of SiHAu2I, as listed in the Alexandria database.

Mass density = 7.97 g/cm³
ΔE to the lowest computed polymorph = 0.1283 eV per atom

Unit cell a=3.496 b=4.229 c=8.114 alpha=91.63 beta=91.54 gamma=107.14
Atoms (fractional coordinates):
I 0.853 0.493 0.558
Au 0.107 0.923 0.809
Au 0.895 0.554 0.163
Si 0.245 0.137 0.108
H 0.362 0.275 0.911



Record 7
First-principles (PBE-GGA) data for a relaxed structure of SiHAu2I, as listed in the Alexandria database.

Mass density = 8.51 g/cm³
ΔE to the lowest computed polymorph = 0.1035 eV per atom

Unit cell a=8.745 b=3.690 c=7.242 alpha=90.00 beta=113.32 gamma=90.00
Atoms (fractional coordinates):
Si 0.508 0.000 0.891
Si 0.508 0.500 0.391
Au 0.627 0.500 0.768
Au 0.860 0.500 0.222
Au 0.860 0.000 0.722
Au 0.627 0.000 0.268
I 0.198 0.000 0.701
I 0.198 0.500 0.201
H 0.872 0.500 0.737
H 0.872 0.000 0.237



Record 8
First-principles (PBE-GGA) data for a relaxed structure of SiHAu2I, as listed in the Alexandria database.

Mass density = 7.95 g/cm³
ΔE to the lowest computed polymorph = 0.0195 eV per atom

Unit cell a=5.050 b=8.029 c=5.889 alpha=90.00 beta=105.72 gamma=90.00
Atoms (fractional coordinates):
I 0.546 0.500 0.691
I 0.546 0.000 0.191
Si 0.906 0.000 0.622
Si 0.906 0.500 0.122
Au 0.160 0.243 0.641
Au 0.160 0.743 0.141
Au 0.160 0.257 0.141
Au 0.160 0.757 0.641
H 0.679 0.500 0.241
H 0.679 0.000 0.741



Record 9
First-principles (PBE-GGA) data for a relaxed structure of SiHAu2I, as listed in the Alexandria database.

Mass density = 7.68 g/cm³
ΔE to the lowest computed polymorph = 0.0148 eV per atom

Unit cell a=4.356 b=3.698 c=7.422 alpha=90.00 beta=95.70 gamma=90.00
Atoms (fractional coordinates):
I 0.978 0.000 0.024
H 0.584 0.500 0.288
Au 0.159 0.000 0.540
Au 0.850 0.500 0.736
Si 0.488 0.500 0.477



Record 10
First-principles (PBE-GGA) data for a relaxed structure of SiHAu2I, as listed in the Alexandria database.

Mass density = 7.17 g/cm³
ΔE to the lowest computed polymorph = 0.0016 eV per atom

Unit cell a=4.642 b=4.654 c=6.320 alpha=82.45 beta=81.69 gamma=71.14
Atoms (fractional coordinates):
Si 0.117 0.734 0.640
I 0.179 0.791 0.233
Au 0.274 0.157 0.719
Au 0.672 0.556 0.718
H 0.634 0.187 0.755



Record 11
First-principles (PBE-GGA) data for a relaxed structure of SiHAu2I, as listed in the Alexandria database.

Mass density = 8.01 g/cm³
ΔE to the lowest computed polymorph = 0.0000 eV per atom

Unit cell a=3.632 b=4.346 c=7.501 alpha=82.91 beta=76.20 gamma=90.00
Atoms (fractional coordinates):
I 0.861 0.350 0.515
H 0.508 0.843 0.233
Au 0.733 0.771 0.775
Au 0.131 0.383 0.982
Si 0.601 0.025 0.044



Record 12
First-principles (PBE-GGA) data for a relaxed structure of SiHAu2I, as listed in the Alexandria database.

Mass density = 8.06 g/cm³
ΔE to the lowest computed polymorph = 0.0215 eV per atom

Unit cell a=3.889 b=4.075 c=7.497 alpha=96.94 beta=91.05 gamma=105.89
Atoms (fractional coordinates):
I 0.246 0.502 0.799
Au 0.318 0.099 0.058
Au 0.960 0.537 0.248
H 0.573 0.048 0.513
Si 0.602 0.938 0.316